Below is a relaxed structure of GePCl, with properties calculated at the GGA-PBE level.

Cell and atoms, written as extended XYZ:
```
6
Lattice="-3.194 -0.903 1.808 -1.770 -1.805 -2.810 4.246 -8.974 4.764" Properties=species:S:1:pos:R:3 pbc="T T T"
Ge 0.194 -4.274 0.432
Ge -0.913 -7.409 3.330
P -1.705 -5.803 0.146
P 0.987 -5.879 3.616
Cl -0.074 -9.323 3.955
Cl -0.645 -2.359 -0.193
```

Computed properties:
Polymorph energy (0 for the lowest one): 20 meV/atom
ΔE_f (raw): -336 meV per atom

Below is a relaxed structure of Li2SiMo, with properties calculated at the GGA-PBE level.

Cell and atoms, written as extended XYZ:
```
4
Lattice="5.200 0.023 0.000 -2.813 4.373 0.000 0.000 0.000 2.578" Properties=species:S:1:pos:R:3 pbc="T T T"
Li 0.000 0.000 0.000
Li 1.193 2.198 0.000
Mo 2.600 0.011 1.289
Si -1.407 2.187 1.289
```

Computed properties:
ΔE_f (raw): 142 meV per atom

Below is a relaxed structure of SrLa2In, with properties calculated at the GGA-PBE level.

Cell and atoms, written as extended XYZ:
```
4
Lattice="-0.477 -3.269 2.534 2.629 -3.354 -3.833 5.179 1.191 2.510" Properties=species:S:1:pos:R:3 pbc="T T T"
In 3.904 -1.082 -0.661
La 0.000 0.000 0.000
La 1.076 -3.311 -0.649
Sr 2.351 -1.039 2.522
```

Computed properties:
Calculated total energy: -3.654 eV per atom

Below is a relaxed structure of ScTlHg2, with properties calculated at the GGA-PBE level.

Cell and atoms, written as extended XYZ:
```
4
Lattice="3.547 0.000 0.000 1.774 3.072 0.000 1.774 1.024 9.358" Properties=species:S:1:pos:R:3 pbc="T T T"
Sc 5.321 3.072 9.350
Tl 3.547 2.048 4.701
Hg 1.774 1.024 7.203
Hg 1.774 1.024 2.141
```

Computed properties:
Calculated total energy: -2.451 eV per atom

Below is a relaxed structure of CsSr3Pd, with properties calculated at the GGA-PBE level.

Cell and atoms, written as extended XYZ:
```
10
Lattice="4.941 -6.692 0.000 4.941 6.692 0.000 0.000 0.000 7.723" Properties=species:S:1:pos:R:3 pbc="T T T"
Cs 4.941 0.893 1.931
Cs 4.941 -0.893 5.792
Sr 2.931 -2.957 1.931
Sr 6.951 -2.957 1.931
Sr 2.931 2.957 5.792
Sr 6.951 2.957 5.792
Sr 0.000 0.000 0.000
Sr 0.000 0.000 3.862
Pd 4.941 4.258 1.931
Pd 4.941 -4.258 5.792
```

Computed properties:
Polymorph energy (0 for the lowest one): 225 meV/atom

Below is a relaxed structure of InGeSCl2, with properties calculated at the GGA-PBE level.

Cell and atoms, written as extended XYZ:
```
5
Lattice="5.104 0.000 0.000 0.000 5.104 0.000 0.000 0.000 5.115" Properties=species:S:1:pos:R:3 pbc="T T T"
Ge 2.552 2.552 2.558
Cl 0.000 2.552 0.000
Cl 2.552 0.000 0.000
S 0.000 0.000 2.558
In 0.000 0.000 0.000
```

Computed properties:
Polymorph energy (0 for the lowest one): 341 meV/atom
ΔE_f (raw): -93 meV per atom